[1]
Computed, not measured: a relaxed NdErIrRu crystal at the PBE level of DFT.

Properties
Formation energy: -1.88 eV/f.u.
SG: F-43m (216)
Total moment: 0.000 μB per cell

extended XYZ file:
```
4
Lattice="4.890 0.000 0.000 2.445 4.235 0.000 2.445 1.412 3.993" Properties=species:S:1:pos:R:3 pbc="T T T"
Er 0.000 0.000 0.000
Nd 4.890 2.823 1.997
Ir 2.445 1.412 0.998
Ru 7.336 4.235 2.995
```


[2]
Computed, not measured: a relaxed NdErTlIr crystal at the PBE level of DFT.

Properties
Formation energy: -1.66 eV/f.u.
SG: F-43m (216)
Total moment: 0.000 μB per cell

extended XYZ file:
```
4
Lattice="5.164 0.000 0.000 2.582 4.472 0.000 2.582 1.491 4.216" Properties=species:S:1:pos:R:3 pbc="T T T"
Nd 2.582 1.491 1.054
Tl 5.164 2.981 2.108
Er 7.746 4.472 3.162
Ir 0.000 0.000 0.000
```


[3]
Computed, not measured: a relaxed Er5Ni2Ir crystal at the PBE level of DFT.

Properties
Formation energy: -4.25 eV/f.u.
SG: I4/mcm (140)
Total moment: 0.000 μB per cell

extended XYZ file:
```
16
Lattice="-1.614 -6.053 -3.092 3.948 -3.422 4.638 -6.906 4.037 3.596" Properties=species:S:1:pos:R:3 pbc="T T T"
Er -5.061 1.676 2.125
Er 1.167 -4.738 0.773
Er -2.845 0.872 4.908
Er -3.060 -2.667 4.057
Er 0.489 -7.114 3.017
Er 0.704 -3.574 3.867
Er -1.727 -6.311 0.234
Er -1.512 -2.771 1.085
Er 0.000 0.000 0.000
Er -5.277 -1.864 1.275
Ir -1.703 -5.088 2.957
Ir -2.870 -0.350 2.184
Ni 1.306 -2.027 1.390
Ni 1.028 -7.448 0.155
Ni -0.527 -4.165 -1.360
Ni 2.861 -5.311 2.906
```


[4]
Computed, not measured: a relaxed Er2NiIr3 crystal at the PBE level of DFT.

Properties
Formation energy: -4.35 eV/f.u.
SG: P6_3/mmc (194)
Total moment: 0.013 μB per cell

extended XYZ file:
```
12
Lattice="5.359 0.000 0.000 -2.680 4.641 0.000 0.000 0.000 8.331" Properties=species:S:1:pos:R:3 pbc="T T T"
Ir 4.008 0.780 6.249
Ir -1.329 3.861 2.083
Ir 2.680 3.081 6.249
Ir 1.351 0.780 6.249
Ir 1.329 3.861 2.083
Ir 0.000 1.560 2.083
Er 2.680 1.547 3.623
Er 2.680 1.547 0.543
Er 0.000 3.094 7.789
Er 0.000 3.094 4.709
Ni 0.000 0.000 4.166
Ni 0.000 0.000 0.000
```